## a
NdYPdAu (GGA-PBE, optimized geometry); M_tot = 0.0 Bohr magnetons per cell; space group = Amm2
1.0
4.747 0.000 0.000
0.000 1.919 5.397
0.000 -1.919 5.397
Nd Y Pd Au
1 1 1 1
direct
0.000 0.000 0.000
0.500 0.724 0.724
0.000 0.274 0.274
0.500 0.443 0.443



## b
NdYPdAu (GGA-PBE, optimized geometry); M_tot = 0.0 Bohr magnetons per cell; space group = F-43m
1.0
0.000 3.622 3.622
3.622 0.000 3.622
3.622 3.622 0.000
Nd Y Pd Au
1 1 1 1
direct
0.000 0.000 0.000
0.500 0.500 0.500
0.250 0.250 0.250
0.750 0.750 0.750



Most stable structure: a



## a
NdZnPdAu (GGA-PBE, optimized geometry); M_tot = 0.0 Bohr magnetons per cell; space group = F-43m
1.0
0.000 3.450 3.450
3.450 0.000 3.450
3.450 3.450 0.000
Nd Zn Pd Au
1 1 1 1
direct
0.000 0.000 0.000
0.500 0.500 0.500
0.250 0.250 0.250
0.750 0.750 0.750



## b
NdZnPdAu (GGA-PBE, optimized geometry); M_tot = 0.0 Bohr magnetons per cell; space group = Cm
1.0
3.909 -2.266 0.000
3.909 2.266 0.000
-2.614 0.000 4.746
Nd Zn Pd Au
1 1 1 1
direct
0.000 0.000 0.000
0.512 0.512 0.536
0.215 0.215 0.644
0.784 0.784 0.354



Most stable structure: b



## a
PmNd2Au (GGA-PBE, optimized geometry); M_tot = 0.0 Bohr magnetons per cell; space group = R3m
1.0
1.917 1.107 10.158
-1.917 1.107 10.158
0.000 -2.214 10.158
Pm Nd Au
1 2 1
direct
0.000 0.000 0.000
0.570 0.570 0.570
0.764 0.764 0.764
0.167 0.167 0.167



## b
PmNd2Au (GGA-PBE, optimized geometry); M_tot = 0.0 Bohr magnetons per cell; space group = P4/mmm
1.0
5.568 0.000 0.000
0.000 5.568 0.000
0.000 0.000 3.711
Pm Nd Au
1 2 1
direct
0.000 0.000 0.000
0.000 0.500 0.500
0.500 0.000 0.500
0.500 0.500 0.000



Most stable structure: a



## a
PmNd2Au (GGA-PBE, optimized geometry); M_tot = 0.0 Bohr magnetons per cell; space group = P4/mmm
1.0
3.741 0.000 0.000
0.000 3.741 0.000
0.000 0.000 8.674
Pm Nd Au
1 2 1
direct
0.000 0.000 0.000
0.500 0.500 0.292
0.500 0.500 0.708
0.000 0.000 0.500



## b
PmNd2Au (GGA-PBE, optimized geometry); M_tot = 0.0 Bohr magnetons per cell; space group = Pnma
1.0
7.188 0.000 0.000
0.000 10.278 0.000
0.000 0.000 6.768
Pm Nd Au
4 8 4
direct
0.014 0.250 0.133
0.486 0.750 0.633
0.514 0.250 0.367
0.986 0.750 0.867
0.193 0.053 0.677
0.193 0.447 0.677
0.307 0.553 0.177
0.307 0.947 0.177
0.693 0.053 0.823
0.693 0.447 0.823
0.807 0.553 0.323
0.807 0.947 0.323
0.104 0.750 0.438
0.396 0.250 0.938
0.604 0.750 0.062
0.896 0.250 0.562



Most stable structure: b